(1)
## CaCu2Ru (PBEsol)

Data for CaCu2Ru after structural relaxation.

a = 3.0186 Å, b = 4.4930 Å, c = 5.2196 Å
α = 115.49°, β = 106.81°, γ = 90.00°
Each line ends with the local moment (μB).
Fractional coordinates of all 4 atoms:
Ca  0.2550  0.7550  0.5101  0.00
Ru  0.4777  0.4777  0.9554  0.33
Cu  0.0246  0.0246  0.0492  0.01
Cu  0.7427  0.2427  0.4854  0.02

V ... 60.53 Å³/cell
Crystal system ... orthorhombic
VASP energy ... -4.88 eV per atom
DFT formation energy ... 35.0 kJ per mole of atoms

(2)
## CaZrCu2S (PBEsol)

Data for CaZrCu2S after structural relaxation.

a = 4.6606 Å, b = 4.6606 Å, c = 6.4691 Å
α = 90.00°, β = 90.00°, γ = 90.00°
Each line ends with the local moment (μB).
Fractional coordinates of all 5 atoms:
Zr  0.0000  0.0000  0.0000  0.75
Cu  0.0000  0.5000  0.0000  0.02
Cu  0.5000  0.0000  0.0000  0.02
S  0.5000  0.5000  0.5000  0.00
Ca  0.0000  0.0000  0.5000  0.11

Uncorrected formation energy ... 1.094 eV/atom
V ... 140.52 Å³/cell
Crystal system ... tetragonal
VASP energy ... -3.76 eV per atom